Record 1
Computed, not measured: YAgHg2 at its PBEsol-relaxed geometry at the SCAN level of DFT.

Results
As for the total energy: -49.221 eV/atom. The calculation puts the energy of formation at -1.34 eV per formula unit.

Unit cell a=3.273 b=4.816 c=5.697 alpha=90.00 beta=90.09 gamma=90.00
Atoms (fractional coordinates):
Y  0.000  0.000  0.000
Ag  0.502  0.500  0.244
Hg  0.499  0.500  0.757
Hg  0.500  0.000  0.487

Record 2
Computed, not measured: Dy3SbO3 at its PBEsol-relaxed geometry at the SCAN level of DFT.

Results
As for the total energy: -31.600 eV/atom. The uncorrected formation energy is -3.12 eV/atom.

Unit cell a=6.749 b=6.749 c=11.568 alpha=117.32 beta=117.32 gamma=33.02
Atoms (fractional coordinates):
Dy  0.120  0.120  0.441
Dy  0.129  0.129  0.900
Dy  0.345  0.345  0.794
Dy  0.655  0.655  0.206
Dy  0.871  0.871  0.100
Dy  0.880  0.880  0.559
Sb  0.380  0.380  0.321
Sb  0.620  0.620  0.679
O  0.063  0.063  0.197
O  0.311  0.311  0.591
O  0.338  0.338  0.988
O  0.662  0.662  0.012
O  0.689  0.689  0.409
O  0.937  0.937  0.803

Record 3
Computed, not measured: Sm9Ga5S21 at its PBEsol-relaxed geometry at the SCAN level of DFT.

Results
As for the total energy: -21.342 eV/atom. The uncorrected formation energy is -1.80 eV/atom.

Unit cell a=11.435 b=11.435 c=11.435 alpha=94.75 beta=94.75 gamma=94.75
Atoms (fractional coordinates):
Sm  0.013  0.801  0.640
Sm  0.022  0.178  0.800
Sm  0.121  0.345  0.495
Sm  0.131  0.986  0.360
Sm  0.178  0.800  0.022
Sm  0.320  0.700  0.474
Sm  0.345  0.495  0.121
Sm  0.360  0.131  0.986
Sm  0.456  0.679  0.831
Sm  0.474  0.320  0.700
Sm  0.495  0.121  0.345
Sm  0.640  0.013  0.801
Sm  0.679  0.831  0.456
Sm  0.700  0.474  0.320
Sm  0.800  0.022  0.178
Sm  0.801  0.640  0.013
Sm  0.831  0.456  0.679
Sm  0.986  0.360  0.131
Ga  0.102  0.102  0.102
Ga  0.129  0.472  0.795
Ga  0.294  0.967  0.635
Ga  0.404  0.404  0.404
Ga  0.472  0.795  0.129
Ga  0.600  0.600  0.600
Ga  0.635  0.294  0.967
Ga  0.795  0.129  0.472
Ga  0.907  0.907  0.907
Ga  0.967  0.635  0.294
S  0.005  0.907  0.140
S  0.034  0.601  0.115
S  0.036  0.187  0.288
S  0.060  0.546  0.628
S  0.091  0.757  0.420
S  0.115  0.034  0.601
S  0.140  0.005  0.907
S  0.187  0.288  0.036
S  0.212  0.310  0.726
S  0.235  0.482  0.339
S  0.254  0.590  0.922
S  0.254  0.786  0.698
S  0.288  0.036  0.187
S  0.310  0.726  0.212
S  0.339  0.235  0.482
S  0.357  0.938  0.451
S  0.392  0.528  0.624
S  0.409  0.879  0.963
S  0.420  0.091  0.757
S  0.451  0.357  0.938
S  0.482  0.339  0.235
S  0.528  0.624  0.392
S  0.546  0.628  0.060
S  0.550  0.800  0.653
S  0.590  0.922  0.254
S  0.601  0.115  0.034
S  0.624  0.392  0.528
S  0.628  0.060  0.546
S  0.653  0.550  0.800
S  0.698  0.254  0.786
S  0.726  0.212  0.310
S  0.726  0.863  0.973
S  0.757  0.420  0.091
S  0.786  0.698  0.254
S  0.800  0.653  0.550
S  0.863  0.973  0.726
S  0.879  0.963  0.409
S  0.907  0.140  0.005
S  0.922  0.254  0.590
S  0.938  0.451  0.357
S  0.963  0.409  0.879
S  0.973  0.726  0.863

Record 4
Computed, not measured: Ge3MoAu at its PBEsol-relaxed geometry at the SCAN level of DFT.

Results
As for the total energy: -31.063 eV/atom. The calculation puts the energy of formation at 5.99 eV per formula unit.

Unit cell a=4.874 b=4.874 c=4.874 alpha=90.00 beta=90.00 gamma=90.00
Atoms (fractional coordinates):
Ge  0.000  0.000  0.500
Ge  0.000  0.500  0.000
Ge  0.500  0.000  0.000
Mo  0.500  0.500  0.500
Au  0.000  0.000  0.000

Record 5
Computed, not measured: Sb2OsW at its PBEsol-relaxed geometry at the SCAN level of DFT.

Results
As for the total energy: -52.916 eV/atom. Its energy above the most stable polymorph in this dataset is 395 meV per atom. The uncorrected formation energy is 1.11 eV/atom.

Unit cell a=5.327 b=5.327 c=5.327 alpha=144.84 beta=120.73 gamma=70.82
Atoms (fractional coordinates):
Sb  0.243  0.243  0.000
Sb  0.757  0.757  0.000
Os  0.000  0.500  0.500
W  0.500  0.000  0.500

Record 6
Computed, not measured: Li3TiRe at its PBEsol-relaxed geometry at the SCAN level of DFT.

Results
As for the total energy: -17.357 eV/atom. The calculation puts the energy of formation at 7.51 eV per formula unit.

Unit cell a=4.528 b=4.528 c=4.528 alpha=90.00 beta=90.00 gamma=90.00
Atoms (fractional coordinates):
Li  0.000  0.000  0.500
Li  0.000  0.500  0.000
Li  0.500  0.000  0.000
Ti  0.500  0.500  0.500
Re  0.000  0.000  0.000

Record 7
Computed, not measured: GaBiNO2 at its PBEsol-relaxed geometry at the SCAN level of DFT.

Results
As for the total energy: -23.778 eV/atom. The uncorrected formation energy is -0.44 eV/atom.

Unit cell a=3.854 b=3.854 c=3.927 alpha=90.00 beta=90.00 gamma=90.00
Atoms (fractional coordinates):
Ga  0.000  0.000  0.000
Bi  0.500  0.500  0.500
N  0.000  0.000  0.500
O  0.000  0.500  0.000
O  0.500  0.000  0.000

Record 8
Computed, not measured: PtSe3Cl at its PBEsol-relaxed geometry at the SCAN level of DFT.

Results
As for the total energy: -26.182 eV/atom. The uncorrected formation energy is 1.50 eV/atom.

Unit cell a=4.752 b=4.752 c=4.752 alpha=90.00 beta=90.00 gamma=90.00
Atoms (fractional coordinates):
Pt  0.000  0.000  0.000
Se  0.000  0.500  0.500
Se  0.500  0.000  0.500
Se  0.500  0.500  0.000
Cl  0.500  0.500  0.500

Record 9
Computed, not measured: CuPSO2 at its PBEsol-relaxed geometry at the SCAN level of DFT.

Results
As for the total energy: -9.370 eV/atom. The uncorrected formation energy is 0.17 eV/atom.

Unit cell a=3.424 b=3.424 c=4.751 alpha=90.00 beta=90.00 gamma=90.00
Atoms (fractional coordinates):
Cu  0.000  0.000  0.000
P  0.500  0.500  0.000
S  0.500  0.500  0.500
O  0.000  0.500  0.500
O  0.500  0.000  0.500

Record 10
Computed, not measured: LaAsRu2 at its PBEsol-relaxed geometry at the SCAN level of DFT.

Results
As for the total energy: -33.244 eV/atom. The calculation puts the energy of formation at -0.03 eV per formula unit.

Unit cell a=5.559 b=5.559 c=5.559 alpha=146.86 beta=131.19 gamma=60.27
Atoms (fractional coordinates):
La  0.000  0.000  0.000
As  0.730  0.230  0.500
Ru  0.273  0.773  0.500
Ru  0.524  0.524  0.000

Record 11
Computed, not measured: KNb2SnH at its PBEsol-relaxed geometry at the SCAN level of DFT.

Results
As for the total energy: -21.187 eV/atom.

Unit cell a=5.290 b=5.290 c=6.519 alpha=90.00 beta=90.00 gamma=90.00
Atoms (fractional coordinates):
K  0.000  0.000  0.000
Nb  0.000  0.500  0.500
Nb  0.500  0.000  0.500
Sn  0.000  0.000  0.500
H  0.500  0.500  0.000

Record 12
Computed, not measured: KPtN2F at its PBEsol-relaxed geometry at the SCAN level of DFT.

Results
As for the total energy: -18.137 eV/atom. The uncorrected formation energy is 1.99 eV/atom.

Unit cell a=4.853 b=4.853 c=4.497 alpha=90.00 beta=90.00 gamma=90.00
Atoms (fractional coordinates):
K  0.000  0.000  0.000
Pt  0.500  0.500  0.500
N  0.000  0.500  0.000
N  0.500  0.000  0.000
F  0.000  0.000  0.500

Record 13
Computed, not measured: KCu2H20N3Cl8O4 at its PBEsol-relaxed geometry at the SCAN level of DFT.

Results
As for the total energy: -6.782 eV/atom.

Unit cell a=7.480 b=7.480 c=7.790 alpha=90.00 beta=90.00 gamma=90.00
Atoms (fractional coordinates):
K  0.000  0.000  0.000
Cu  0.000  0.500  0.756
Cu  0.500  0.000  0.244
H  0.078  0.083  0.423
H  0.078  0.424  0.077
H  0.078  0.424  0.434
H  0.083  0.922  0.577
H  0.414  0.425  0.423
H  0.416  0.423  0.077
H  0.423  0.584  0.923
H  0.424  0.922  0.566
H  0.424  0.922  0.923
H  0.425  0.586  0.577
H  0.575  0.414  0.577
H  0.576  0.078  0.566
H  0.576  0.078  0.923
H  0.577  0.416  0.923
H  0.584  0.577  0.077
H  0.586  0.575  0.423
H  0.917  0.078  0.577
H  0.922  0.576  0.077
H  0.922  0.576  0.434
H  0.922  0.917  0.423
N  0.000  0.000  0.500
N  0.500  0.500  0.000
N  0.500  0.500  0.500
Cl  0.206  0.281  0.757
Cl  0.222  0.283  0.254
Cl  0.281  0.794  0.243
Cl  0.283  0.778  0.746
Cl  0.717  0.222  0.746
Cl  0.719  0.206  0.243
Cl  0.778  0.717  0.254
Cl  0.794  0.719  0.757
O  0.000  0.500  0.003
O  0.000  0.500  0.508
O  0.500  0.000  0.492
O  0.500  0.000  0.997

Record 14
Computed, not measured: YZn2 at its PBEsol-relaxed geometry at the SCAN level of DFT.

Results
As for the total energy: -18.712 eV/atom. The calculation puts the energy of formation at -1.26 eV per formula unit.

Unit cell a=5.576 b=5.576 c=5.338 alpha=91.36 beta=91.36 gamma=43.36
Atoms (fractional coordinates):
Y  0.204  0.204  0.248
Y  0.796  0.796  0.752
Zn  0.086  0.086  0.744
Zn  0.500  0.500  0.000
Zn  0.500  0.500  0.500
Zn  0.914  0.914  0.256

Record 15
Computed, not measured: Ca2YBr at its PBEsol-relaxed geometry at the SCAN level of DFT.

Results
As for the total energy: -17.129 eV/atom. Its energy above the most stable polymorph in this dataset is 209 meV per atom. The uncorrected formation energy is -0.47 eV/atom.

Unit cell a=6.845 b=6.845 c=6.845 alpha=149.72 beta=126.87 gamma=62.38
Atoms (fractional coordinates):
Ca  0.000  0.000  0.000
Ca  0.699  0.199  0.500
Y  0.282  0.782  0.500
Br  0.485  0.485  0.000

Record 16
Computed, not measured: InTe2Pt at its PBEsol-relaxed geometry at the SCAN level of DFT.

Results
As for the total energy: -44.557 eV/atom. The uncorrected formation energy is -0.04 eV/atom.

Unit cell a=6.699 b=6.699 c=6.699 alpha=148.88 beta=141.59 gamma=50.23
Atoms (fractional coordinates):
In  0.000  0.000  0.000
Te  0.323  0.823  0.500
Te  0.626  0.626  0.000
Pt  0.803  0.303  0.500

Record 17
Computed, not measured: AlInCl at its PBEsol-relaxed geometry at the SCAN level of DFT.

Results
As for the total energy: -16.095 eV/atom. The uncorrected formation energy is 0.28 eV/atom.

Unit cell a=4.982 b=4.982 c=4.982 alpha=60.00 beta=60.00 gamma=60.00
Atoms (fractional coordinates):
Al  0.000  0.000  0.000
In  0.500  0.500  0.500
Cl  0.750  0.750  0.750

Record 18
Computed, not measured: USn2 at its PBEsol-relaxed geometry at the SCAN level of DFT.

Results
As for the total energy: -58.407 eV/atom. The calculation puts the energy of formation at 0.15 eV per formula unit.

Unit cell a=7.184 b=7.184 c=5.146 alpha=90.00 beta=90.00 gamma=148.89
Atoms (fractional coordinates):
U  0.190  0.810  0.000
U  0.810  0.190  0.000
Sn  0.000  0.000  0.500
Sn  0.332  0.668  0.500
Sn  0.500  0.500  0.000
Sn  0.668  0.332  0.500

Record 19
Computed, not measured: Cs3KS at its PBEsol-relaxed geometry at the SCAN level of DFT.

Results
As for the total energy: -26.899 eV/atom. The uncorrected formation energy is -0.62 eV/atom.

Unit cell a=6.845 b=6.845 c=6.845 alpha=90.00 beta=90.00 gamma=90.00
Atoms (fractional coordinates):
Cs  0.000  0.000  0.500
Cs  0.000  0.500  0.000
Cs  0.500  0.000  0.000
K  0.500  0.500  0.500
S  0.000  0.000  0.000

Record 20
Computed, not measured: Y2RhBr at its PBEsol-relaxed geometry at the SCAN level of DFT.

Results
As for the total energy: -28.187 eV/atom. Its energy above the most stable polymorph in this dataset is 286 meV per atom. The uncorrected formation energy is -0.96 eV/atom.

Unit cell a=3.990 b=3.990 c=5.742 alpha=90.00 beta=90.00 gamma=90.00
Atoms (fractional coordinates):
Y  0.000  0.000  0.000
Y  0.500  0.500  0.500
Rh  0.000  0.000  0.500
Br  0.500  0.500  0.000